(1)
VASP calculation (PBE-GGA) on a relaxed SmYInIr crystal.

It has space group F-43m (No. 216), with a = 7.2611 Å, b = 7.2611 Å, c = 7.2611 Å, α = 90.00°, β = 90.00° and γ = 90.00°. The distinct sites, in fractional coordinates, are Sm at (0.0000, 0.0000, 0.0000), Y at (0.0000, 0.0000, 0.5000), In at (0.2500, 0.2500, 0.7500) and Ir at (0.2500, 0.2500, 0.2500).

For the total magnetic moment, the calculation gives 0.00 μB/atom. Its formation energy is -0.506 eV/atom.

(2)
VASP calculation (PBE-GGA) on a relaxed In2Sn4Ir crystal.

It has space group I4/mmm (No. 139), with a = 4.9946 Å, b = 4.9946 Å, c = 17.1337 Å, α = 90.00°, β = 90.00° and γ = 90.00°. The distinct sites, in fractional coordinates, are In at (0.0000, 0.0000, 0.1609), Sn at (0.0000, 0.0000, 0.3396), Sn at (0.0000, 0.5000, 0.0000) and Ir at (0.0000, 0.0000, 0.5000).

For the total magnetic moment, the calculation gives 0.00 μB/atom. Its formation energy is 0.172 eV/atom.

(3)
VASP calculation (PBE-GGA) on a relaxed InSn3Ir3 crystal.

It has space group P2_13 (No. 198), with a = 8.2445 Å, b = 8.2445 Å, c = 8.2445 Å, α = 90.00°, β = 90.00° and γ = 90.00°. The distinct sites, in fractional coordinates, are In at (0.0719, 0.4281, 0.5719), Sn at (0.0587, 0.5587, 0.9413), Sn at (0.2280, 0.7720, 0.2720), Sn at (0.2339, 0.2339, 0.2339) and Ir at (0.0009, 0.2446, 0.9841).

For the total magnetic moment, the calculation gives 0.00 μB/atom. Its formation energy is 0.043 eV/atom.

(4)
VASP calculation (PBE-GGA) on a relaxed In4Sn2Ir crystal.

It has space group I4/mmm (No. 139), with a = 5.0526 Å, b = 5.0526 Å, c = 18.7351 Å, α = 90.00°, β = 90.00° and γ = 90.00°. The distinct sites, in fractional coordinates, are In at (0.0000, 0.0000, 0.1394), In at (0.0000, 0.5000, 0.0000), Sn at (0.0000, 0.0000, 0.2894) and Ir at (0.0000, 0.0000, 0.0000).

For the total magnetic moment, the calculation gives 0.00 μB/atom. Its formation energy is 0.106 eV/atom.

(5)
VASP calculation (PBE-GGA) on a relaxed In2SnIr2 crystal.

It has space group P4/mbm (No. 127), with a = 7.8722 Å, b = 7.8722 Å, c = 3.1148 Å, α = 90.00°, β = 90.00° and γ = 90.00°. The distinct sites, in fractional coordinates, are In at (0.1433, 0.3567, 0.0000), Sn at (0.0000, 0.0000, 0.5000) and Ir at (0.1543, 0.6543, 0.5000).

For the total magnetic moment, the calculation gives 0.00 μB/atom. For the relative energy among the computed polymorphs, the calculation gives 0.000 eV/f.u. Its formation energy is -0.029 eV/atom.

(6)
VASP calculation (PBE-GGA) on a relaxed InSn2Ir2 crystal.

It has space group I4/mmm (No. 139), with a = 4.1939 Å, b = 4.1939 Å, c = 12.0272 Å, α = 90.00°, β = 90.00° and γ = 90.00°. The distinct sites, in fractional coordinates, are In at (0.0000, 0.0000, 0.0000), Sn at (0.0000, 0.5000, 0.2500) and Ir at (0.0000, 0.0000, 0.3921).

For the total magnetic moment, the calculation gives 0.00 μB/atom. Its formation energy is 0.069 eV/atom.

(7)
VASP calculation (PBE-GGA) on a relaxed In2SnIr2 crystal.

It has space group I4/mmm (No. 139), with a = 4.0083 Å, b = 4.0083 Å, c = 12.7740 Å, α = 90.00°, β = 90.00° and γ = 90.00°. The distinct sites, in fractional coordinates, are In at (0.0000, 0.5000, 0.2500), Sn at (0.0000, 0.0000, 0.0000) and Ir at (0.0000, 0.0000, 0.3995).

For the total magnetic moment, the calculation gives 0.00 μB/atom. For the relative energy among the computed polymorphs, the calculation gives 0.782 eV/f.u. Its formation energy is 0.127 eV/atom.

(8)
VASP calculation (PBE-GGA) on a relaxed InSnIr3 crystal.

It has space group Pm-3m (No. 221), with a = 4.8542 Å, b = 4.8542 Å, c = 4.8542 Å, α = 90.00°, β = 90.00° and γ = 90.00°. The distinct sites, in fractional coordinates, are In at (0.0000, 0.0000, 0.0000), Sn at (0.5000, 0.5000, 0.5000) and Ir at (0.0000, 0.5000, 0.5000).

For the total magnetic moment, the calculation gives 0.00 μB/atom. For the relative energy among the computed polymorphs, the calculation gives 0.000 eV/f.u. Its formation energy is 1.482 eV/atom.